(1)
The following is a GGA-PBE calculation of Pm2YTc9 after structural relaxation, from Alexandria.

Cell: 5.494 5.494 9.439 Å, 70.13 70.13 57.57°
Sites, in units of the cell vectors:
Pm1 0.858 0.858 0.430
Pm2 0.142 0.142 0.570
Y1 0.000 0.000 0.000
Tc1 0.685 0.685 0.010
Tc2 0.315 0.315 0.990
Tc3 0.500 0.500 0.500
Tc4 0.422 0.422 0.231
Tc5 0.927 0.418 0.250
Tc6 0.418 0.927 0.250
Tc7 0.578 0.578 0.769
Tc8 0.582 0.073 0.750
Tc9 0.073 0.582 0.750

* E: -9.077 eV/atom
* E_form: 0.028 eV per atom

(2)
The following is a GGA-PBE calculation of WC2 after structural relaxation, from Alexandria.

Cell: 2.956 2.956 8.190 Å, 90.00 90.00 120.00°
Sites, in units of the cell vectors:
W1 0.667 0.333 0.750
W2 0.333 0.667 0.250
C1 0.000 0.000 0.917
C2 0.000 0.000 0.417
C3 0.000 0.000 0.083
C4 0.000 0.000 0.583

* E: -9.876 eV/atom
* E_form: 0.591 eV per atom
* energy above the most stable polymorph in this dataset: 75.7 meV per atom